# 1
# PBE-GGA Ba2Cd2Bi, relaxed
data_Ba2Cd2Bi
_space_group_name_H-M_alt 'I 4/m m m'
_space_group_IT_number 139
_space_group_name_Hall '-I 4 2'
_cell_length_a 6.770
_cell_length_b 6.770
_cell_length_c 8.924
_cell_angle_alpha 90.00
_cell_angle_beta 90.00
_cell_angle_gamma 90.00
loop_
_atom_site_label
_atom_site_type_symbol
_atom_site_fract_x
_atom_site_fract_y
_atom_site_fract_z
Ba1 Ba 0.000 0.500 0.250
Cd1 Cd 0.000 0.000 0.153
Bi1 Bi 0.000 0.000 0.500
# distance to the lowest polymorph of the same formula	4.115	kcal/mol of atoms
# formation energy from the elements	-0.270	eV/atom
# V	409	Å³ per cell

# 2
# PBE-GGA Tm3H2Pb, relaxed
data_Tm3H2Pb
_space_group_name_H-M_alt 'C 1 2/m 1'
_space_group_IT_number 12
_cell_length_a 22.958
_cell_length_b 3.537
_cell_length_c 6.217
_cell_angle_alpha 90.00
_cell_angle_beta 103.90
_cell_angle_gamma 90.00
loop_
_space_group_symop_operation_xyz
'x,y,z'
'-x,-y,-z'
'-x,y,-z'
'x,-y,z'
'x+1/2,y+1/2,z'
'-x+1/2,-y+1/2,-z'
'-x+1/2,y+1/2,-z'
'x+1/2,-y+1/2,z'
loop_
_atom_site_label
_atom_site_type_symbol
_atom_site_fract_x
_atom_site_fract_y
_atom_site_fract_z
Tm1 Tm 0.031 0.000 0.274
Tm2 Tm 0.104 0.500 0.868
Tm3 Tm 0.235 0.000 0.214
H1 H 0.057 0.000 0.953
H2 H 0.208 0.500 0.014
Pb1 Pb 0.148 0.500 0.424
# calculated total energy	-26.2	eV per formula unit
# V	490	Å³ per cell

# 3
# PBE-GGA CdReAs2Br, relaxed
data_CdReAs2Br
_space_group_name_H-M_alt 'P 4/m m m'
_space_group_IT_number 123
_space_group_name_Hall '-P 4 2'
_cell_length_a 4.764
_cell_length_b 4.764
_cell_length_c 5.591
_cell_angle_alpha 90.00
_cell_angle_beta 90.00
_cell_angle_gamma 90.00
loop_
_atom_site_label
_atom_site_type_symbol
_atom_site_fract_x
_atom_site_fract_y
_atom_site_fract_z
Cd1 Cd 0.000 0.000 0.000
Re1 Re 0.500 0.500 0.500
As1 As 0.000 0.500 0.500
Br1 Br 0.500 0.500 0.000
# distance to the lowest polymorph of the same formula	0.000	kcal/mol of atoms
# formation energy (no corrections)	39	kJ/mol of atoms
# V	127	Å³ per cell

# 4
# PBE-GGA HfTaFeMo, relaxed
data_HfTaFeMo
_space_group_name_H-M_alt 'F -4 3 m'
_space_group_IT_number 216
_space_group_name_Hall 'F -4 2 3'
_cell_length_a 6.374
_cell_length_b 6.374
_cell_length_c 6.374
_cell_angle_alpha 90.00
_cell_angle_beta 90.00
_cell_angle_gamma 90.00
loop_
_atom_site_label
_atom_site_type_symbol
_atom_site_fract_x
_atom_site_fract_y
_atom_site_fract_z
Hf1 Hf 0.000 0.000 0.000
Ta1 Ta 0.000 0.000 0.500
Fe1 Fe 0.250 0.250 0.250
Mo1 Mo 0.250 0.250 0.750
# formation energy from the elements	-0.163	eV/atom
# V	259	Å³ per cell

# 5
# PBE-GGA Ca2YMg2, relaxed
data_Ca2YMg2
_space_group_name_H-M_alt 'C m m m'
_space_group_IT_number 65
_space_group_name_Hall '-C 2 2'
_cell_length_a 3.862
_cell_length_b 22.611
_cell_length_c 3.723
_cell_angle_alpha 90.00
_cell_angle_beta 90.00
_cell_angle_gamma 90.00
loop_
_atom_site_label
_atom_site_type_symbol
_atom_site_fract_x
_atom_site_fract_y
_atom_site_fract_z
Ca1 Ca 0.000 0.177 0.000
Y1 Y 0.000 0.000 0.000
Mg1 Mg 0.000 0.416 0.500
# distance to the lowest polymorph of the same formula	0.000	kcal/mol of atoms
# formation energy from the elements	-0.017	eV/atom
# V	325	Å³ per cell

# 6
# PBE-GGA Pr3GaRu, relaxed
data_Pr3GaRu
_space_group_name_H-M_alt 'F m m m'
_space_group_IT_number 69
_space_group_name_Hall '-F 2 2'
_cell_length_a 6.691
_cell_length_b 9.832
_cell_length_c 16.174
_cell_angle_alpha 90.00
_cell_angle_beta 90.00
_cell_angle_gamma 90.00
loop_
_atom_site_label
_atom_site_type_symbol
_atom_site_fract_x
_atom_site_fract_y
_atom_site_fract_z
Pr1 Pr 0.000 0.000 0.196
Pr2 Pr 0.000 0.190 0.396
Ga1 Ga 0.189 0.000 0.000
Ru1 Ru 0.250 0.250 0.250
# distance to the lowest polymorph of the same formula	0.000	kcal/mol of atoms
# formation energy from the elements	-0.316	eV/atom
# V	1064	Å³ per cell

# 7
# PBE-GGA Mg2Tl5In, relaxed
data_Mg2Tl5In
_space_group_name_H-M_alt 'P b a m'
_space_group_IT_number 55
_cell_length_a 7.364
_cell_length_b 13.077
_cell_length_c 4.619
_cell_angle_alpha 90.00
_cell_angle_beta 90.00
_cell_angle_gamma 90.00
loop_
_space_group_symop_operation_xyz
'x,y,z'
'-x,-y,-z'
'-x,-y,z'
'x,y,-z'
'x+1/2,-y+1/2,-z'
'-x+1/2,y+1/2,z'
'-x+1/2,y+1/2,-z'
'x+1/2,-y+1/2,z'
loop_
_atom_site_label
_atom_site_type_symbol
_atom_site_fract_x
_atom_site_fract_y
_atom_site_fract_z
Mg1 Mg 0.243 0.126 0.000
Tl1 Tl 0.000 0.000 0.500
Tl2 Tl 0.025 0.748 0.500
Tl3 Tl 0.232 0.379 0.000
In1 In 0.000 0.500 0.500
# distance to the lowest polymorph of the same formula	0.000	kcal/mol of atoms
# formation energy from the elements	0.026	eV/atom
# V	445	Å³ per cell

# 8
# PBE-GGA Ca2TaCu, relaxed
data_Ca2TaCu
_space_group_name_H-M_alt 'I 4/m m m'
_space_group_IT_number 139
_space_group_name_Hall '-I 4 2'
_cell_length_a 4.426
_cell_length_b 4.426
_cell_length_c 9.454
_cell_angle_alpha 90.00
_cell_angle_beta 90.00
_cell_angle_gamma 90.00
loop_
_atom_site_label
_atom_site_type_symbol
_atom_site_fract_x
_atom_site_fract_y
_atom_site_fract_z
Ca1 Ca 0.000 0.500 0.250
Ta1 Ta 0.000 0.000 0.000
Cu1 Cu 0.000 0.000 0.500
# distance to the lowest polymorph of the same formula	10.311	kcal/mol of atoms
# formation energy from the elements	0.782	eV/atom
# V	185	Å³ per cell

# 9
# PBE-GGA Al3ZnCl, relaxed
data_Al3ZnCl
_space_group_name_H-M_alt 'P m -3 m'
_space_group_IT_number 221
_space_group_name_Hall '-P 4 2 3'
_cell_length_a 4.874
_cell_length_b 4.874
_cell_length_c 4.874
_cell_angle_alpha 90.00
_cell_angle_beta 90.00
_cell_angle_gamma 90.00
loop_
_atom_site_label
_atom_site_type_symbol
_atom_site_fract_x
_atom_site_fract_y
_atom_site_fract_z
Al1 Al 0.000 0.000 0.500
Zn1 Zn 0.000 0.000 0.000
Cl1 Cl 0.500 0.500 0.500
# distance to the lowest polymorph of the same formula	0.000	kcal/mol of atoms
# formation energy (no corrections)	28	kJ/mol of atoms
# V	116	Å³ per cell

# 10
# PBE-GGA Ni2PAu, relaxed
data_Ni2PAu
_space_group_name_H-M_alt 'C 1 m 1'
_space_group_IT_number 8
_cell_length_a 7.873
_cell_length_b 2.986
_cell_length_c 4.923
_cell_angle_alpha 90.00
_cell_angle_beta 90.38
_cell_angle_gamma 90.00
loop_
_space_group_symop_operation_xyz
'x,y,z'
'x,-y,z'
'x+1/2,y+1/2,z'
'x+1/2,-y+1/2,z'
loop_
_atom_site_label
_atom_site_type_symbol
_atom_site_fract_x
_atom_site_fract_y
_atom_site_fract_z
Ni1 Ni 0.000 0.000 0.000
Ni2 Ni 0.213 0.500 0.751
P1 P 0.284 0.000 0.049
Au1 Au 0.435 0.000 0.475
# formation energy from the elements	-0.101	eV/atom
# V	116	Å³ per cell

# 11
# PBE-GGA Li2Ti3P9O28, relaxed
data_Li2Ti3P9O28
_space_group_name_H-M_alt 'P -1'
_space_group_IT_number 2
_cell_length_a 7.291
_cell_length_b 9.243
_cell_length_c 9.646
_cell_angle_alpha 112.20
_cell_angle_beta 110.57
_cell_angle_gamma 96.76
loop_
_space_group_symop_operation_xyz
'x,y,z'
'-x,-y,-z'
loop_
_atom_site_label
_atom_site_type_symbol
_atom_site_fract_x
_atom_site_fract_y
_atom_site_fract_z
Li1 Li 0.085 0.375 0.184
Ti1 Ti 0.263 0.503 0.750
Ti2 Ti 0.500 0.000 0.500
P1 P 0.000 0.000 0.000
P2 P 0.150 0.189 0.410
P3 P 0.194 0.723 0.534
P4 P 0.297 0.274 0.954
P5 P 0.361 0.830 0.094
O1 O 0.057 0.574 0.365
O2 O 0.061 0.848 0.574
O3 O 0.100 0.190 0.241
O4 O 0.106 0.196 0.962
O5 O 0.227 0.658 0.952
O6 O 0.239 0.054 0.428
O7 O 0.243 0.329 0.818
O8 O 0.259 0.674 0.675
O9 O 0.276 0.965 0.069
O10 O 0.280 0.361 0.549
O11 O 0.375 0.821 0.533
O12 O 0.409 0.839 0.266
O13 O 0.419 0.141 0.915
O14 O 0.439 0.418 0.126
# formation energy (no corrections)	-221	kJ/mol of atoms
# V	539	Å³ per cell

# 12
# PBE-GGA Pr8Ho6Cd, relaxed
data_Pr8Ho6Cd
_space_group_name_H-M_alt 'P -3'
_space_group_IT_number 147
_cell_length_a 9.4338
_cell_length_b 9.4338
_cell_length_c 6.5252
_cell_angle_alpha 90.00
_cell_angle_beta 90.00
_cell_angle_gamma 120.00
loop_
_space_group_symop_operation_xyz
'x,y,z'
'-x,-y,-z'
'-y,x-y,z'
'y,-x+y,-z'
'-x+y,-x,z'
'x-y,x,-z'
loop_
_atom_site_label
_atom_site_type_symbol
_atom_site_fract_x
_atom_site_fract_y
_atom_site_fract_z
Pr1 Pr 0.0428 0.2742 0.3187
Pr2 Pr 0.3333 0.6667 0.3530
Ho1 Ho 0.0989 0.4501 0.8331
Cd1 Cd 0.0000 0.0000 0.0000
# formation energy from the elements	0.099	eV/atom
# V	503	Å³ per cell

# 13
# PBE-GGA Na3CaMg, relaxed
data_Na3CaMg
_space_group_name_H-M_alt 'P m -3 m'
_space_group_IT_number 221
_space_group_name_Hall '-P 4 2 3'
_cell_length_a 5.900
_cell_length_b 5.900
_cell_length_c 5.900
_cell_angle_alpha 90.00
_cell_angle_beta 90.00
_cell_angle_gamma 90.00
loop_
_atom_site_label
_atom_site_type_symbol
_atom_site_fract_x
_atom_site_fract_y
_atom_site_fract_z
Na1 Na 0.000 0.000 0.500
Ca1 Ca 0.500 0.500 0.500
Mg1 Mg 0.000 0.000 0.000
# distance to the lowest polymorph of the same formula	0.000	kcal/mol of atoms
# formation energy from the elements	0.320	eV/atom
# V	205	Å³ per cell

# 14
# PBE-GGA TmCoCuSi2, relaxed
data_TmCoCuSi2
_space_group_name_H-M_alt 'I -4 m 2'
_space_group_IT_number 119
_space_group_name_Hall 'I -4 -2'
_cell_length_a 3.940
_cell_length_b 3.940
_cell_length_c 9.658
_cell_angle_alpha 90.00
_cell_angle_beta 90.00
_cell_angle_gamma 90.00
loop_
_atom_site_label
_atom_site_type_symbol
_atom_site_fract_x
_atom_site_fract_y
_atom_site_fract_z
Tm1 Tm 0.000 0.000 0.000
Co1 Co 0.000 0.500 0.250
Cu1 Cu 0.000 0.500 0.750
Si1 Si 0.000 0.000 0.377
# formation energy (no corrections)	-62	kJ/mol of atoms
# V	150	Å³ per cell

# 15
# PBE-GGA ScIn4W, relaxed
data_ScIn4W
_space_group_name_H-M_alt 'F -4 3 m'
_space_group_IT_number 216
_space_group_name_Hall 'F -4 2 3'
_cell_length_a 8.043
_cell_length_b 8.043
_cell_length_c 8.043
_cell_angle_alpha 90.00
_cell_angle_beta 90.00
_cell_angle_gamma 90.00
loop_
_atom_site_label
_atom_site_type_symbol
_atom_site_fract_x
_atom_site_fract_y
_atom_site_fract_z
Sc1 Sc 0.000 0.000 0.000
In1 In 0.125 0.125 0.375
W1 W 0.250 0.250 0.750
# formation energy from the elements	0.534	eV/atom
# V	520	Å³ per cell

# 16
# PBE-GGA TaSiHg2, relaxed
data_TaSiHg2
_space_group_name_H-M_alt 'C 1 2/m 1'
_space_group_IT_number 12
_cell_length_a 15.729
_cell_length_b 2.810
_cell_length_c 4.445
_cell_angle_alpha 90.00
_cell_angle_beta 90.16
_cell_angle_gamma 90.00
loop_
_space_group_symop_operation_xyz
'x,y,z'
'-x,-y,-z'
'-x,y,-z'
'x,-y,z'
'x+1/2,y+1/2,z'
'-x+1/2,-y+1/2,-z'
'-x+1/2,y+1/2,-z'
'x+1/2,-y+1/2,z'
loop_
_atom_site_label
_atom_site_type_symbol
_atom_site_fract_x
_atom_site_fract_y
_atom_site_fract_z
Ta1 Ta 0.000 0.000 0.000
Si1 Si 0.000 0.500 0.500
Hg1 Hg 0.165 0.500 0.000
# formation energy (no corrections)	17	kJ/mol of atoms
# V	196	Å³ per cell

# 17
# PBE-GGA HfS2BrN, relaxed
data_HfS2BrN
_space_group_name_H-M_alt 'P 4/m m m'
_space_group_IT_number 123
_space_group_name_Hall '-P 4 2'
_cell_length_a 5.062
_cell_length_b 5.062
_cell_length_c 4.181
_cell_angle_alpha 90.00
_cell_angle_beta 90.00
_cell_angle_gamma 90.00
loop_
_atom_site_label
_atom_site_type_symbol
_atom_site_fract_x
_atom_site_fract_y
_atom_site_fract_z
Hf1 Hf 0.000 0.000 0.000
S1 S 0.000 0.500 0.000
Br1 Br 0.500 0.500 0.500
N1 N 0.000 0.000 0.500
# distance to the lowest polymorph of the same formula	0.000	kcal/mol of atoms
# formation energy (no corrections)	12	kJ/mol of atoms
# V	107	Å³ per cell

# 18
# PBE-GGA Rb3U2Te7, relaxed
data_Rb3U2Te7
_space_group_name_H-M_alt 'P 1 2/m 1'
_space_group_IT_number 10
_cell_length_a 5.954
_cell_length_b 5.966
_cell_length_c 13.805
_cell_angle_alpha 90.00
_cell_angle_beta 97.81
_cell_angle_gamma 90.00
loop_
_space_group_symop_operation_xyz
'x,y,z'
'-x,-y,-z'
'-x,y,-z'
'x,-y,z'
loop_
_atom_site_label
_atom_site_type_symbol
_atom_site_fract_x
_atom_site_fract_y
_atom_site_fract_z
Rb1 Rb 0.000 0.000 0.000
Rb2 Rb 0.162 0.000 0.384
U1 U 0.430 0.500 0.784
Te1 Te 0.075 0.500 0.230
Te2 Te 0.316 0.500 0.560
Te3 Te 0.421 0.000 0.791
Te4 Te 0.500 0.500 0.000
# formation energy (no corrections)	-73	kJ/mol of atoms
# V	486	Å³ per cell

# 19
# PBE-GGA Sm6Cd5Ru, relaxed
data_Sm6Cd5Ru
_space_group_name_H-M_alt 'I m m m'
_space_group_IT_number 71
_space_group_name_Hall '-I 2 2'
_cell_length_a 5.280
_cell_length_b 7.634
_cell_length_c 15.755
_cell_angle_alpha 90.00
_cell_angle_beta 90.00
_cell_angle_gamma 90.00
loop_
_atom_site_label
_atom_site_type_symbol
_atom_site_fract_x
_atom_site_fract_y
_atom_site_fract_z
Sm1 Sm 0.000 0.225 0.000
Sm2 Sm 0.000 0.268 0.346
Cd1 Cd 0.000 0.000 0.185
Cd2 Cd 0.000 0.000 0.500
Cd3 Cd 0.000 0.500 0.168
Ru1 Ru 0.000 0.500 0.500
# formation energy from the elements	-0.324	eV/atom
# V	635	Å³ per cell

# 20
# PBE-GGA LiMn2CdH, relaxed
data_LiMn2CdH
_space_group_name_H-M_alt 'P 4/m m m'
_space_group_IT_number 123
_space_group_name_Hall '-P 4 2'
_cell_length_a 5.129
_cell_length_b 5.129
_cell_length_c 2.977
_cell_angle_alpha 90.00
_cell_angle_beta 90.00
_cell_angle_gamma 90.00
loop_
_atom_site_label
_atom_site_type_symbol
_atom_site_fract_x
_atom_site_fract_y
_atom_site_fract_z
Li1 Li 0.000 0.000 0.000
Mn1 Mn 0.000 0.500 0.000
Cd1 Cd 0.500 0.500 0.500
H1 H 0.000 0.000 0.500
# distance to the lowest polymorph of the same formula	14.539	kcal/mol of atoms
# V	78	Å³ per cell